1.
Ba8PtRh2 after structural relaxation, computed with PBE.

POSCAR file:
```
Ba8PtRh2
1.0
7.759 0.054 0.079
-0.003 7.930 -4.587
-0.101 -0.213 8.777
Ba Rh Pt
8 2 1
direct
0.162 0.104 0.733 Ba
0.691 0.380 0.759 Ba
0.162 0.629 0.733 Ba
0.309 0.620 0.241 Ba
0.838 0.371 0.267 Ba
0.305 0.131 0.264 Ba
0.695 0.869 0.736 Ba
0.838 0.896 0.267 Ba
0.013 0.735 0.471 Rh
0.987 0.265 0.529 Rh
0.000 0.000 0.000 Pt
```

Computed properties:
E above lowest polymorph: 0 meV per atom
Formation energy from the elements: -0.271 eV/atom

2.
In2AgCl after structural relaxation, computed with PBE.

POSCAR file:
```
In2AgCl
1.0
-0.928 2.181 -2.822
1.950 -1.815 -2.044
-6.171 -4.781 -1.665
Ag In Cl
1 2 1
direct
0.500 0.250 0.250 Ag
0.000 0.751 0.033 In
0.000 0.749 0.467 In
0.500 0.750 0.750 Cl
```

Computed properties:
E above lowest polymorph: 29 meV per atom
Formation energy from raw total energies: -0.254 eV/atom

3.
Zr5Tl3Cd after structural relaxation, computed with PBE.

POSCAR file:
```
Zr5Tl3Cd
1.0
6.034 0.000 0.000
0.000 7.669 -4.428
0.000 0.000 8.855
Cd Tl Zr
2 6 10
direct
0.500 0.000 0.000 Cd
0.000 0.000 0.000 Cd
0.250 0.363 0.000 Tl
0.750 0.363 0.363 Tl
0.750 0.000 0.637 Tl
0.250 0.000 0.363 Tl
0.750 0.637 0.000 Tl
0.250 0.637 0.637 Tl
0.750 0.000 0.305 Zr
0.250 0.695 0.000 Zr
0.500 0.667 0.333 Zr
0.250 0.305 0.305 Zr
0.500 0.333 0.667 Zr
0.250 0.000 0.695 Zr
0.000 0.667 0.333 Zr
0.750 0.305 0.000 Zr
0.000 0.333 0.667 Zr
0.750 0.695 0.695 Zr
```

Computed properties:
Formation energy from the elements: -0.101 eV/atom

4.
HoEr2HfAs4 after structural relaxation, computed with PBE.

POSCAR file:
```
HoEr2HfAs4
1.0
4.008 0.000 0.000
0.000 6.947 0.132
0.000 -2.417 6.513
Ho Er Hf As
1 2 1 4
direct
0.500 0.500 0.000 Ho
0.500 0.000 0.500 Er
0.000 0.500 0.500 Er
0.000 0.000 0.000 Hf
0.500 0.761 0.760 As
0.000 0.757 0.245 As
0.500 0.239 0.240 As
0.000 0.243 0.755 As
```

Computed properties:
Formation energy from the elements: -1.390 eV/atom

5.
AcSb2 after structural relaxation, computed with PBE.

POSCAR file:
```
AcSb2
1.0
6.459 0.000 0.000
3.230 5.594 0.000
3.230 1.865 5.274
Sb Ac
4 2
direct
0.625 0.625 0.125 Sb
0.625 0.125 0.625 Sb
0.625 0.625 0.625 Sb
0.125 0.625 0.625 Sb
0.000 0.000 0.000 Ac
0.250 0.250 0.250 Ac
```

Computed properties:
E above lowest polymorph: 363 meV per atom
Formation energy from raw total energies: -0.441 eV/atom

| no. | E_tot (eV per formula unit) |
| --- | --- |
| 1 | -39.1 |
| 2 | -11.2 |
| 3 | -51.7 |
| 4 | -53.4 |
| 5 | -13.7 |